# 1
Entry from Alexandria: a geometry-optimized RbInI2 structure (PBE).

a b c (Å): 7.8752 7.8752 17.0130
angles (deg): 90.00 90.00 90.00
With the nearest neighbours (Å) after each atom.
Space group I-42d (No. 122)
Symmetry-distinct sites (fractional):
Rb (0.0000, 0.0000, 0.0000)  4 I 3.61
In (0.0000, 0.0000, 0.5000)  4 I 3.40
I (0.2260, 0.2500, 0.6250)  2 In 3.40, 2 Rb 3.61

Values from the calculation:
Energy relative to the elements, uncorrected   -0.8871 eV per atom



# 2
Entry from Alexandria: a geometry-optimized UCdPb2O8 structure (PBE).

a b c (Å): 7.3169 7.3204 6.7392
angles (deg): 90.00 90.00 90.00
With the nearest neighbours (Å) after each atom.
Space group Cmmm (No. 65)
Symmetry-distinct sites (fractional):
U (0.0000, 0.0000, 0.0000)  6 O 2.04-2.23
Cd (0.0000, 0.0000, 0.5000)  6 O 2.26-2.35
Pb (0.0000, 0.5000, 0.2536)  6 O 2.17-2.27
O (0.0000, 0.1914, 0.2192)  1 U 2.04, 1 Pb 2.27
O (0.1911, 0.5000, 0.5000)  2 Pb 2.17, 1 Cd 2.26
O (0.1948, 0.5000, 0.0000)  2 Pb 2.23, 1 U 2.23

Values from the calculation:
Energy relative to the elements, uncorrected   -1.6118 eV per atom



# 3
Entry from Alexandria: a geometry-optimized Tb2SmEu structure (PBE).

a b c (Å): 8.1797 8.1797 8.1797
angles (deg): 90.00 90.00 90.00
With the nearest neighbours (Å) after each atom.
Space group Fm-3m (No. 225)
Symmetry-distinct sites (fractional):
Tb (0.2500, 0.2500, 0.2500)  4 Sm 3.54, 4 Eu 3.54
Sm (0.0000, 0.0000, 0.0000)  8 Tb 3.54
Eu (0.0000, 0.0000, 0.5000)  8 Tb 3.54

Values from the calculation:
Raw total energy   -5.903 eV per atom



Copy entry 3 word for word.
Entry from Alexandria: a geometry-optimized Tb2SmEu structure (PBE).

a b c (Å): 8.1797 8.1797 8.1797
angles (deg): 90.00 90.00 90.00
With the nearest neighbours (Å) after each atom.
Space group Fm-3m (No. 225)
Symmetry-distinct sites (fractional):
Tb (0.2500, 0.2500, 0.2500)  4 Sm 3.54, 4 Eu 3.54
Sm (0.0000, 0.0000, 0.0000)  8 Tb 3.54
Eu (0.0000, 0.0000, 0.5000)  8 Tb 3.54

Values from the calculation:
Raw total energy   -5.903 eV per atom



Q: What is the formula in the first record?
A: RbInI2